Si2CO | the Alexandria database | GGA-PBEsol | optimized geometry; calculated density = 3.88 g/cm³; formation energy (no corrections) = 0.617 eV per atom; total DFT energy (no corrections) = -23.92 eV for the cell shown
1.0
-2.853 2.286 0.614
-2.088 1.161 -2.834
-3.476 -1.233 -0.368
Si C O
2 1 1
direct
0.250 0.250 0.250
0.750 0.750 0.750
0.000 0.000 0.000
0.500 0.500 0.500

***

YPt2Rh | the Alexandria database | GGA-PBEsol | optimized geometry; formation energy from the elements = -0.820 eV/atom; calculated density = 14.79 g/cm³; polymorph energy (0 for the lowest one) = 0 meV per atom; total DFT energy (no corrections) = -32.17 eV for the cell shown
1.0
3.996 0.000 0.000
0.000 3.996 0.000
0.000 0.000 4.093
Y Rh Pt
1 1 2
direct
0.000 0.000 0.500
0.500 0.500 0.500
0.000 0.500 0.000
0.500 0.000 0.000

***

Rb | the Alexandria database | GGA-PBEsol | optimized geometry; formation energy from the elements = 0.000 eV/atom; calculated density = 1.67 g/cm³; polymorph energy (0 for the lowest one) = 0 meV per atom; total DFT energy (no corrections) = -2.05 eV for the cell shown
1.0
-3.670 -2.201 2.478
4.398 0.656 2.163
-2.417 7.129 2.752
Rb
2
direct
0.333 0.667 0.250
0.667 0.333 0.750

***

Nb3ZnCl | the Alexandria database | GGA-PBEsol | optimized geometry; calculated density = 6.89 g/cm³; formation energy (no corrections) = 0.611 eV per atom; total DFT energy (no corrections) = -33.00 eV for the cell shown
1.0
-3.302 -3.064 0.075
0.987 -1.167 -4.238
2.902 -3.090 1.526
Nb Zn Cl
3 1 1
direct
0.000 0.500 0.000
0.000 0.000 0.500
0.500 0.000 0.000
0.500 0.500 0.500
0.000 0.000 0.000

***

KAuBr2 | the Alexandria database | GGA-PBEsol | optimized geometry; calculated density = 6.69 g/cm³; formation energy (no corrections) = -0.524 eV per atom; polymorph energy (0 for the lowest one) = 302 meV per atom; total DFT energy (no corrections) = -10.90 eV for the cell shown
1.0
3.653 0.000 0.000
0.000 4.818 0.000
0.000 0.000 5.587
Au Br K
1 2 1
direct
0.500 0.000 0.500
0.000 0.000 0.000
0.000 0.500 0.500
0.500 0.500 0.000

***

Ba2SrAg | the Alexandria database | GGA-PBEsol | optimized geometry; formation energy from the elements = -0.058 eV/atom; calculated density = 4.53 g/cm³; polymorph energy (0 for the lowest one) = 39 meV per atom; total DFT energy (no corrections) = -9.68 eV for the cell shown
1.0
4.151 0.000 0.000
0.000 6.296 0.000
-2.076 -3.148 6.599
Sr Ba Ag
1 2 1
direct
0.562 0.062 0.124
0.941 0.441 0.881
0.752 0.752 0.504
0.245 0.245 0.491

***

CaTeAs2 | the Alexandria database | GGA-PBEsol | optimized geometry; calculated density = 5.62 g/cm³; formation energy (no corrections) = -0.307 eV per atom; total DFT energy (no corrections) = -17.10 eV for the cell shown
1.0
-0.946 -0.816 3.853
3.933 -0.001 0.966
-0.273 5.598 1.118
As Te Ca
2 1 1
direct
0.000 0.000 0.231
0.000 0.000 0.769
0.500 0.500 0.000
0.500 0.500 0.500

***

Mg3Os | the Alexandria database | GGA-PBEsol | optimized geometry; formation energy from the elements = 0.272 eV/atom; calculated density = 6.42 g/cm³; total DFT energy (no corrections) = -16.28 eV for the cell shown
1.0
4.082 0.000 0.000
0.000 4.082 0.000
0.000 0.000 4.082
Mg Os
3 1
direct
0.000 0.500 0.500
0.500 0.000 0.500
0.500 0.500 0.000
0.000 0.000 0.000

***

ZnMoRu | the Alexandria database | GGA-PBEsol | optimized geometry; formation energy from the elements = 0.994 eV/atom; calculated density = 9.26 g/cm³; polymorph energy (0 for the lowest one) = 996 meV per atom; total DFT energy (no corrections) = -20.54 eV for the cell shown
1.0
-1.830 3.486 -0.962
-4.018 0.355 0.393
-1.551 2.347 2.918
Mo Ru Zn
1 1 1
direct
0.000 0.000 0.000
0.500 0.500 0.500
0.250 0.250 0.250

***

Rb5C3 | the Alexandria database | GGA-PBEsol | optimized geometry; formation energy from the elements = 1.771 eV/atom; calculated density = 2.65 g/cm³; total DFT energy (no corrections) = -19.89 eV for the cell shown
1.0
-3.505 -0.762 1.472
1.455 -3.064 1.879
3.949 11.193 15.198
C Rb
3 5
direct
0.000 0.000 0.500
0.500 0.500 0.107
0.500 0.500 0.893
0.000 0.000 0.000
0.000 0.000 0.180
0.000 0.000 0.820
0.500 0.500 0.415
0.500 0.500 0.585

***

VAsO5 | the Alexandria database | GGA-PBEsol | optimized geometry; calculated density = 3.76 g/cm³; formation energy (no corrections) = -1.680 eV per atom; polymorph energy (0 for the lowest one) = 0 meV per atom; total DFT energy (no corrections) = -210.99 eV for the cell shown
1.0
6.369 0.000 0.000
0.000 7.452 0.000
0.000 0.000 7.664
V As O
4 4 20
direct
0.250 0.739 0.169
0.750 0.239 0.331
0.250 0.761 0.669
0.750 0.261 0.831
0.750 0.616 0.121
0.250 0.116 0.379
0.750 0.884 0.621
0.250 0.384 0.879
0.250 0.504 0.068
0.750 0.181 0.131
0.540 0.756 0.121
0.960 0.756 0.121
0.250 0.985 0.193
0.750 0.485 0.307
0.040 0.256 0.379
0.460 0.256 0.379
0.250 0.681 0.369
0.750 0.004 0.432
0.250 0.996 0.568
0.750 0.319 0.631
0.540 0.744 0.621
0.960 0.744 0.621
0.250 0.515 0.693
0.750 0.015 0.807
0.040 0.244 0.879
0.460 0.244 0.879
0.250 0.819 0.869
0.750 0.496 0.932

***

BaCaSiO4 | the Alexandria database | GGA-PBEsol | optimized geometry; calculated density = 4.59 g/cm³; formation energy (no corrections) = -2.996 eV per atom; total DFT energy (no corrections) = -415.98 eV for the cell shown
1.0
-4.319 -4.554 3.508
8.781 -3.908 5.738
-5.887 8.650 3.981
Ba Ca O Si
8 8 32 8
direct
0.851 0.667 0.333
0.351 0.333 0.667
0.549 0.833 0.666
0.549 0.833 0.167
0.549 0.334 0.167
0.049 0.167 0.334
0.049 0.167 0.833
0.049 0.666 0.833
0.715 0.470 0.530
0.715 0.060 0.530
0.715 0.470 0.940
0.215 0.530 0.470
0.215 0.940 0.470
0.215 0.530 0.060
0.746 0.000 0.000
0.246 0.000 0.000
0.511 0.587 0.413
0.511 0.826 0.413
0.511 0.587 0.174
0.011 0.413 0.587
0.011 0.174 0.587
0.011 0.413 0.826
0.702 0.333 0.667
0.202 0.667 0.333
0.966 0.913 0.827
0.966 0.913 0.087
0.966 0.173 0.087
0.466 0.087 0.173
0.466 0.087 0.913
0.466 0.827 0.913
0.900 0.916 0.590
0.900 0.674 0.084
0.900 0.410 0.326
0.400 0.084 0.410
0.400 0.326 0.916
0.400 0.590 0.674
0.900 0.410 0.084
0.900 0.916 0.326
0.900 0.674 0.590
0.400 0.590 0.916
0.400 0.084 0.674
0.400 0.326 0.410
0.216 0.811 0.622
0.216 0.811 0.189
0.216 0.378 0.189
0.716 0.189 0.378
0.716 0.189 0.811
0.716 0.622 0.811
0.927 0.333 0.667
0.427 0.667 0.333
0.996 0.828 0.657
0.996 0.828 0.172
0.996 0.343 0.172
0.496 0.172 0.343
0.496 0.172 0.828
0.496 0.657 0.828

***

LaTiAlPbO6 | the Alexandria database | GGA-PBEsol | optimized geometry; calculated density = 7.52 g/cm³; formation energy (no corrections) = -2.838 eV per atom; polymorph energy (0 for the lowest one) = 0 meV per atom; total DFT energy (no corrections) = -326.55 eV for the cell shown
1.0
-2.978 0.073 -2.448
1.715 -4.643 -2.226
-12.021 -11.288 14.285
La Ti Al Pb O
4 4 4 4 24
direct
0.000 0.750 0.681
0.000 0.750 0.439
0.000 0.250 0.319
0.000 0.250 0.561
0.500 0.750 0.066
0.500 0.750 0.807
0.500 0.250 0.934
0.500 0.250 0.193
0.500 0.750 0.560
0.500 0.250 0.681
0.500 0.250 0.440
0.500 0.750 0.319
0.000 0.750 0.197
0.000 0.250 0.061
0.000 0.750 0.939
0.000 0.250 0.803
0.000 0.750 0.063
0.000 0.250 0.937
0.000 0.750 0.561
0.000 0.750 0.321
0.500 0.498 0.129
0.500 0.002 0.129
0.500 0.000 0.000
0.500 0.500 0.000
0.500 0.502 0.871
0.500 0.998 0.871
0.500 0.997 0.741
0.500 0.503 0.741
0.500 0.501 0.621
0.500 0.999 0.621
0.500 0.500 0.500
0.500 0.000 0.500
0.500 0.499 0.379
0.500 0.001 0.379
0.500 0.003 0.259
0.500 0.497 0.259
0.000 0.250 0.199
0.000 0.750 0.801
0.000 0.250 0.679
0.000 0.250 0.439

***

As5Pb3S10 | the Alexandria database | GGA-PBEsol | optimized geometry; calculated density = 5.41 g/cm³; formation energy (no corrections) = -0.252 eV per atom; polymorph energy (0 for the lowest one) = 0 meV per atom; total DFT energy (no corrections) = -343.65 eV for the cell shown
1.0
7.704 0.000 0.000
0.000 8.564 0.084
0.000 2.528 24.551
As Pb S
20 12 40
direct
0.654 0.332 0.958
0.346 0.668 0.042
0.846 0.832 0.458
0.215 0.593 0.562
0.841 0.607 0.643
0.027 0.353 0.053
0.473 0.853 0.553
0.527 0.147 0.447
0.358 0.462 0.841
0.142 0.962 0.341
0.159 0.393 0.357
0.285 0.093 0.062
0.785 0.407 0.438
0.659 0.107 0.143
0.715 0.907 0.938
0.973 0.647 0.947
0.154 0.168 0.542
0.858 0.038 0.659
0.642 0.538 0.159
0.341 0.893 0.857
0.266 0.784 0.197
0.257 0.763 0.710
0.613 0.330 0.576
0.113 0.170 0.924
0.757 0.737 0.790
0.743 0.237 0.290
0.887 0.830 0.076
0.243 0.263 0.210
0.734 0.216 0.803
0.766 0.716 0.303
0.234 0.284 0.697
0.387 0.670 0.424
0.676 0.816 0.670
0.976 0.636 0.409
0.496 0.497 0.238
0.162 0.838 0.990
0.985 0.533 0.722
0.662 0.662 0.510
0.344 0.083 0.609
0.958 0.225 0.402
0.302 0.941 0.482
0.172 0.284 0.816
0.401 0.535 0.632
0.838 0.162 0.010
0.824 0.316 0.170
0.004 0.997 0.738
0.672 0.216 0.684
0.176 0.684 0.830
0.524 0.136 0.909
0.802 0.559 0.018
0.328 0.784 0.316
0.024 0.364 0.591
0.828 0.716 0.184
0.485 0.967 0.778
0.698 0.059 0.518
0.156 0.583 0.109
0.542 0.725 0.902
0.996 0.003 0.262
0.656 0.917 0.391
0.458 0.275 0.098
0.099 0.035 0.132
0.338 0.338 0.490
0.504 0.503 0.762
0.599 0.465 0.368
0.901 0.965 0.868
0.844 0.417 0.891
0.042 0.775 0.598
0.015 0.467 0.278
0.324 0.184 0.330
0.476 0.864 0.091
0.198 0.441 0.982
0.515 0.033 0.222

***

Ni5Pt6 | the Alexandria database | GGA-PBEsol | optimized geometry; formation energy from the elements = -0.039 eV/atom; calculated density = 16.84 g/cm³; total DFT energy (no corrections) = -73.00 eV for the cell shown
1.0
4.566 0.001 -0.002
-0.755 5.862 0.003
-1.541 -1.984 5.391
Ni Pt
5 6
direct
0.998 0.995 0.997
0.545 0.910 0.182
0.637 0.724 0.547
0.726 0.551 0.908
0.366 0.274 0.455
0.087 0.825 0.352
0.184 0.638 0.731
0.281 0.461 0.098
0.820 0.356 0.273
0.898 0.177 0.635
0.458 0.087 0.822

***

LiMgP | the Alexandria database | GGA-PBEsol | optimized geometry; formation energy from the elements = -0.740 eV/atom; calculated density = 1.93 g/cm³; total DFT energy (no corrections) = -46.78 eV for the cell shown
1.0
-2.576 0.036 3.336
0.789 -5.896 0.673
6.613 1.466 5.090
P Mg Li
4 4 4
direct
0.750 0.737 0.377
0.250 0.237 0.123
0.250 0.263 0.623
0.750 0.763 0.877
0.750 0.992 0.137
0.250 0.492 0.363
0.250 0.008 0.863
0.750 0.508 0.637
0.750 0.492 0.113
0.250 0.992 0.387
0.250 0.508 0.887
0.750 0.008 0.613

***

K2AgHg | the Alexandria database | GGA-PBEsol | optimized geometry; formation energy from the elements = 0.015 eV/atom; calculated density = 4.95 g/cm³; total DFT energy (no corrections) = -6.08 eV for the cell shown
1.0
-1.286 -3.777 -0.471
3.015 -0.706 -2.571
4.651 -2.344 6.098
K Hg Ag
2 1 1
direct
0.000 0.000 0.763
0.000 0.000 0.237
0.500 0.500 0.500
0.500 0.500 0.000

***

Ni2AsPt | the Alexandria database | GGA-PBEsol | optimized geometry; formation energy from the elements = -0.152 eV/atom; calculated density = 12.58 g/cm³; total DFT energy (no corrections) = -24.99 eV for the cell shown
1.0
2.977 0.000 0.000
0.000 4.027 0.000
0.000 0.000 4.264
As Ni Pt
1 2 1
direct
0.500 0.500 0.170
0.000 0.000 0.051
0.000 0.500 0.726
0.500 0.000 0.552